No. 1
The following is a PBE calculation of a geometry-optimized LiTb4Sm3Se8 structure, from the Alexandria database.

Computed properties:
Space-group type = R-3m, No. 166
Formation energy without anion corrections = -171.05 kJ per mole of atoms

Structure (POSCAR):
```
LiTb4Sm3Se8
1.0
8.230 0.000 0.000
0.000 8.229 -0.006
-4.115 -4.111 5.822
Tb Li Se Sm
4 1 8 3
direct
0.000 0.000 0.000
0.500 0.000 0.500
0.500 0.000 0.000
0.000 0.000 0.500
0.000 0.500 0.000
0.752 0.757 0.505
0.759 0.750 0.005
0.245 0.750 0.005
0.755 0.250 0.995
0.755 0.250 0.509
0.245 0.750 0.491
0.248 0.243 0.495
0.241 0.250 0.995
0.500 0.500 0.500
0.000 0.500 0.500
0.500 0.500 0.000
```

No. 2
The following is a PBE calculation of a geometry-optimized SrSb2Br8 structure, from the Alexandria database.

Computed properties:
Space-group type = C2/m, No. 12
Formation energy without anion corrections = -88.05 kJ per mole of atoms
Energy relative to the lowest polymorph listed for this composition = 0.017 eV/atom

Structure (POSCAR):
```
SrSb2Br8
1.0
3.857 0.000 -0.819
-0.121 10.524 -0.568
0.164 0.107 10.259
Br Sb Sr
8 2 1
direct
0.350 0.052 0.700
0.761 0.700 0.522
0.004 0.786 0.007
0.601 0.562 0.202
0.239 0.300 0.478
0.399 0.438 0.798
0.996 0.214 0.993
0.650 0.948 0.300
0.156 0.732 0.311
0.844 0.268 0.689
0.500 0.000 0.000
```

No. 3
The following is a PBE calculation of a geometry-optimized Ba2CaCd12Ag3 structure, from the Alexandria database.

Computed properties:
Formation enthalpy at 0 K = 7.92 kJ/mol of atoms
Space-group type = R-3m, No. 166

Structure (POSCAR):
```
Ba2CaCd12Ag3
1.0
8.670 -0.808 -0.573
3.579 7.938 -0.573
3.579 2.083 7.681
Cd Ag Ca Ba
12 3 1 2
direct
0.296 0.840 0.296
0.372 0.854 0.854
0.146 0.628 0.146
0.296 0.296 0.840
0.628 0.146 0.146
0.840 0.296 0.296
0.146 0.146 0.628
0.160 0.704 0.704
0.854 0.854 0.372
0.704 0.160 0.704
0.854 0.372 0.854
0.704 0.704 0.160
0.500 0.000 0.000
0.000 0.500 0.000
0.000 0.000 0.500
0.000 0.000 0.000
0.599 0.599 0.599
0.401 0.401 0.401
```

No. 4
The following is a PBE calculation of a geometry-optimized Nd2Sm4Sc3 structure, from the Alexandria database.

Computed properties:
Formation enthalpy at 0 K = 4.99 kJ/mol of atoms
Space-group type = C2/m, No. 12

Structure (POSCAR):
```
Nd2Sm4Sc3
1.0
-3.805 3.005 -1.216
-5.505 -2.430 0.955
-2.177 1.364 10.178
Sm Sc Nd
4 3 2
direct
0.334 0.332 0.113
0.004 0.991 0.337
0.996 0.009 0.663
0.666 0.668 0.887
0.336 0.328 0.448
0.000 0.000 0.000
0.664 0.672 0.552
0.669 0.663 0.228
0.331 0.337 0.772
```

No. 5
The following is a PBE calculation of a geometry-optimized ZrFeSe4 structure, from the Alexandria database.

Computed properties:
Space-group type = F-43m, No. 216
Formation energy without anion corrections = 63.84 kJ per mole of atoms

Structure (POSCAR):
```
ZrFeSe4
1.0
0.000 3.946 3.946
3.946 0.000 3.946
3.946 3.946 0.000
Se Zr Fe
4 1 1
direct
0.875 0.375 0.375
0.375 0.375 0.875
0.375 0.375 0.375
0.375 0.875 0.375
0.750 0.750 0.750
0.000 0.000 0.000
```

No. 6
The following is a PBE calculation of a geometry-optimized CoC3 structure, from the Alexandria database.

Computed properties:
Formation enthalpy at 0 K = 212.39 kJ/mol of atoms
Space-group type = Im-3m, No. 229
Energy relative to the lowest polymorph listed for this composition = 1.584 eV/atom

Structure (POSCAR):
```
CoC3
1.0
-3.230 -0.428 -0.880
0.644 -1.760 2.807
0.587 3.275 0.566
Co C
1 3
direct
0.000 0.500 0.500
0.500 0.500 0.000
0.000 0.000 0.000
0.500 0.000 0.500
```

No. 7
The following is a PBE calculation of a geometry-optimized Tm3Si2Pt4 structure, from the Alexandria database.

Computed properties:
Space-group type = C2/m, No. 12
Formation energy without anion corrections = -117.36 kJ per mole of atoms

Structure (POSCAR):
```
Tm3Si2Pt4
1.0
4.121 0.000 1.217
1.761 5.006 1.622
-0.192 0.110 8.232
Pt Si Tm
4 2 3
direct
0.095 0.221 0.590
0.718 0.645 0.920
0.905 0.779 0.410
0.282 0.355 0.080
0.660 0.008 0.672
0.340 0.992 0.328
0.000 0.000 0.000
0.361 0.586 0.691
0.639 0.414 0.309
```

No. 8
The following is a PBE calculation of a geometry-optimized Pm8InAg2 structure, from the Alexandria database.

Computed properties:
Formation enthalpy at 0 K = -15.82 kJ/mol of atoms
Space-group type = C2/m, No. 12
Energy relative to the lowest polymorph listed for this composition = 0.000 eV/atom

Structure (POSCAR):
```
Pm8InAg2
1.0
5.130 0.000 -1.657
-1.302 7.462 -4.031
-0.019 -0.025 8.714
Ag Pm In
2 8 1
direct
0.777 0.382 0.554
0.223 0.618 0.446
0.598 0.456 0.196
0.315 0.038 0.631
0.402 0.544 0.804
0.932 0.275 0.863
0.142 0.201 0.285
0.858 0.799 0.715
0.685 0.962 0.369
0.068 0.725 0.137
0.500 0.000 0.000
```